[1]
Ta2AlAs: relaxed, PBE. Values from VASP.

Values from the calculation:
The energy relative to the elements comes out at -27 kJ/mol of formula units. The value obtained for the relative energy among the computed polymorphs is 57 kJ/mol of formula units.

```
&SYSTEM
  ibrav = 0, nat = 4, ntyp = 3
/
ATOMIC_SPECIES
Ta 180.95 Ta.upf
Al 26.98 Al.upf
As 74.92 As.upf
ATOMIC_POSITIONS angstrom
Ta 1.465 2.023 0.000
Ta 1.465 -2.023 0.000
Al -0.432 0.000 1.435
As 2.497 0.000 1.435
CELL_PARAMETERS angstrom
2.929 -4.046 0.000
2.929 4.046 0.000
-0.864 0.000 2.871
```

=====

[2]
AcPu2Ge6: relaxed, PBE. Values from VASP.

Values from the calculation:
The energy relative to the elements comes out at -261 kJ/mol of formula units. The value obtained for the relative energy among the computed polymorphs is 66 kJ/mol of formula units.

```
&SYSTEM
  ibrav = 0, nat = 9, ntyp = 3
/
ATOMIC_SPECIES
Ac 227.00 Ac.upf
Pu 244.00 Pu.upf
Ge 72.64 Ge.upf
ATOMIC_POSITIONS angstrom
Ac 0.000 0.000 0.000
Pu 2.046 0.000 4.655
Pu 0.000 4.215 1.728
Ge 2.046 1.874 -2.391
Ge 2.046 2.702 0.000
Ge 2.046 1.874 2.391
Ge 0.000 2.341 3.992
Ge 0.000 1.513 6.383
Ge 0.000 2.341 8.774
CELL_PARAMETERS angstrom
-2.046 4.215 6.383
2.046 -4.215 6.383
2.046 4.215 -6.383
```

=====

[3]
NaTl5Bi: relaxed, PBE. Values from VASP.

Values from the calculation:
The energy relative to the elements comes out at -16 kJ/mol of formula units. The value obtained for the relative energy among the computed polymorphs is 0 kJ/mol of formula units.

```
&SYSTEM
  ibrav = 0, nat = 7, ntyp = 3
/
ATOMIC_SPECIES
Na 22.99 Na.upf
Tl 204.38 Tl.upf
Bi 208.98 Bi.upf
ATOMIC_POSITIONS angstrom
Na 0.000 0.000 0.000
Tl 0.000 2.478 2.445
Tl 0.000 2.478 6.808
Tl 2.478 0.000 2.445
Tl 2.478 0.000 6.808
Tl 2.478 2.478 0.000
Bi 0.000 0.000 4.626
CELL_PARAMETERS angstrom
4.956 0.000 0.000
0.000 4.956 0.000
0.000 0.000 9.253
```

=====

[4]
SnTe2Os: relaxed, PBE. Values from VASP.

Values from the calculation:
The calculation puts the formation energy (no corrections) at 0.44 eV per atom.

```
&SYSTEM
  ibrav = 0, nat = 8, ntyp = 3
/
ATOMIC_SPECIES
Sn 118.71 Sn.upf
Te 127.60 Te.upf
Os 190.23 Os.upf
ATOMIC_POSITIONS angstrom
Sn 0.000 0.000 0.000
Sn 0.000 3.394 2.847
Te 1.697 -1.258 4.271
Te 2.136 1.697 1.424
Te 1.697 4.651 -1.424
Te 1.258 1.697 7.119
Os 3.394 0.000 2.847
Os 0.000 0.000 5.695
CELL_PARAMETERS angstrom
-3.394 3.394 5.695
3.394 -3.394 5.695
3.394 3.394 -5.695
```

=====

[5]
Zr3Cu: relaxed, PBE. Values from VASP.

Values from the calculation:
The energy relative to the elements comes out at -16 kJ/mol of formula units.

```
&SYSTEM
  ibrav = 0, nat = 16, ntyp = 2
/
ATOMIC_SPECIES
Zr 91.22 Zr.upf
Cu 63.55 Cu.upf
ATOMIC_POSITIONS angstrom
Zr 0.163 2.400 0.949
Zr 1.319 0.426 3.655
Zr 1.319 4.373 3.655
Zr 1.579 5.225 0.700
Zr 1.579 9.172 0.700
Zr 2.735 7.199 3.904
Zr 3.061 2.400 2.005
Zr 4.217 0.426 5.208
Zr 4.217 4.373 5.208
Zr 4.477 5.225 2.254
Zr 4.477 9.172 2.254
Zr 5.633 7.199 4.959
Cu 0.583 7.199 2.250
Cu 2.315 2.400 5.204
Cu 3.481 7.199 0.704
Cu 5.213 2.400 3.659
CELL_PARAMETERS angstrom
5.796 0.000 0.000
0.000 9.598 0.000
0.000 0.000 5.909
```

=====

[6]
K2Bi2Au: relaxed, PBE. Values from VASP.

Values from the calculation:
The energy relative to the elements comes out at -95 kJ/mol of formula units.

```
&SYSTEM
  ibrav = 0, nat = 5, ntyp = 3
/
ATOMIC_SPECIES
K 39.10 K.upf
Bi 208.98 Bi.upf
Au 196.97 Au.upf
ATOMIC_POSITIONS angstrom
K 0.000 0.000 1.890
K 0.000 0.000 17.977
Bi 2.239 0.000 4.967
Bi 0.000 2.239 4.967
Au 0.000 0.000 9.934
CELL_PARAMETERS angstrom
-2.239 2.239 9.934
2.239 -2.239 9.934
2.239 2.239 -9.934
```

=====

[7]
YErCo: relaxed, PBE. Values from VASP.

Values from the calculation:
The energy relative to the elements comes out at -13 kJ/mol of formula units. The value obtained for the relative energy among the computed polymorphs is 30 kJ/mol of formula units.

```
&SYSTEM
  ibrav = 0, nat = 3, ntyp = 3
/
ATOMIC_SPECIES
Y 88.91 Y.upf
Er 167.26 Er.upf
Co 58.93 Co.upf
ATOMIC_POSITIONS angstrom
Y 0.000 0.000 0.000
Er 0.000 2.220 2.887
Co 1.922 1.110 1.473
CELL_PARAMETERS angstrom
3.845 0.000 0.000
-1.922 3.329 0.000
0.000 0.000 6.194
```

=====

[8]
TaP2HO: relaxed, PBE. Values from VASP.

Values from the calculation:
The value obtained for the relative energy among the computed polymorphs is 0 kJ/mol of formula units.

```
&SYSTEM
  ibrav = 0, nat = 5, ntyp = 4
/
ATOMIC_SPECIES
Ta 180.95 Ta.upf
P 30.97 P.upf
H 1.01 H.upf
O 16.00 O.upf
ATOMIC_POSITIONS angstrom
Ta 0.000 0.000 0.000
P 0.000 1.687 2.315
P 1.687 0.000 2.315
H 1.687 1.687 2.315
O 1.687 1.687 0.000
CELL_PARAMETERS angstrom
3.375 0.000 0.000
0.000 3.375 0.000
0.000 0.000 4.630
```

=====

[9]
Ce4Si3Rh4: relaxed, PBE. Values from VASP.

Values from the calculation:
The calculation puts the formation energy (no corrections) at -0.94 eV per atom.

```
&SYSTEM
  ibrav = 0, nat = 22, ntyp = 3
/
ATOMIC_SPECIES
Ce 140.12 Ce.upf
Si 28.09 Si.upf
Rh 102.91 Rh.upf
ATOMIC_POSITIONS angstrom
Ce 6.662 2.014 6.154
Ce 9.752 2.014 4.926
Ce 6.499 0.654 0.748
Ce 5.124 -0.654 4.442
Ce 12.665 0.654 2.945
Ce 11.290 -0.654 6.638
Ce 8.037 -2.014 2.460
Ce 11.127 -2.014 1.233
Si 1.986 0.636 4.105
Si 3.361 -0.636 0.412
Si 9.582 0.855 1.847
Si 8.207 -0.855 5.540
Si 14.427 0.636 6.974
Si 15.802 -0.636 3.281
Rh 3.663 0.845 2.319
Rh 7.619 0.727 3.541
Rh 2.287 -0.845 6.012
Rh 11.545 0.727 0.152
Rh 6.244 -0.727 7.234
Rh 15.501 0.845 1.374
Rh 10.169 -0.727 3.845
Rh 14.126 -0.845 5.068
CELL_PARAMETERS angstrom
10.269 -2.810 0.000
10.269 2.810 0.000
-2.750 0.000 7.387
```

=====

[10]
Ca5Pb: relaxed, PBE. Values from VASP.

Values from the calculation:
The energy relative to the elements comes out at -127 kJ/mol of formula units. The value obtained for the relative energy among the computed polymorphs is 0 kJ/mol of formula units.

```
&SYSTEM
  ibrav = 0, nat = 6, ntyp = 2
/
ATOMIC_SPECIES
Ca 40.08 Ca.upf
Pb 207.20 Pb.upf
ATOMIC_POSITIONS angstrom
Ca 0.000 0.000 0.000
Ca 2.557 5.493 2.650
Ca 2.557 2.546 0.000
Ca 2.557 -2.546 0.000
Ca 2.557 -5.493 2.650
Pb 2.557 0.000 2.650
CELL_PARAMETERS angstrom
2.557 -7.893 0.000
2.557 7.893 0.000
0.000 0.000 5.301
```